Record 1
## RbFeCoSe3 (GGA-PBE)

Data for RbFeCoSe3 after structural relaxation.

abc: 15.489 3.646 9.476
angles: 90.00 90.00 90.00
Space group Pnma (No. 62)
Inequivalent atoms, fractional coordinates:
1 Rb 0.241 0.250 0.050 (multiplicity 4)
2 Fe 0.017 0.250 0.328 (multiplicity 4)
3 Co 0.014 0.750 0.100 (multiplicity 4)
4 Se 0.070 0.250 0.572 (multiplicity 4)
5 Se 0.078 0.750 0.874 (multiplicity 4)
6 Se 0.116 0.750 0.273 (multiplicity 4)

Total energy ... -4.94 eV/atom
Total magnetization ... 1.6 μB per formula unit

=====

Record 2
## Tl2CuHgCl6 (GGA-PBE)

Data for Tl2CuHgCl6 after structural relaxation.

abc: 10.103 10.103 10.103
angles: 90.00 90.00 90.00
Space group Fm-3m (No. 225)
Inequivalent atoms, fractional coordinates:
1 Tl 0.250 0.250 0.250 (multiplicity 8)
2 Cu 0.000 0.000 0.000 (multiplicity 4)
3 Hg 0.000 0.000 0.500 (multiplicity 4)
4 Cl 0.000 0.000 0.239 (multiplicity 24)

Total energy ... -2.67 eV/atom

=====

Record 3
## GdEr2Al3CuNi2 (GGA-PBE)

Data for GdEr2Al3CuNi2 after structural relaxation.

abc: 3.949 12.001 6.937
angles: 90.00 90.00 90.00
Space group Amm2 (No. 38)
Inequivalent atoms, fractional coordinates:
1 Gd 0.000 0.000 0.000 (multiplicity 2)
2 Er 0.000 0.209 0.628 (multiplicity 4)
3 Al 0.500 0.000 0.658 (multiplicity 2)
4 Al 0.500 0.121 0.300 (multiplicity 4)
5 Cu 0.000 0.000 0.422 (multiplicity 2)
6 Ni 0.500 0.169 0.918 (multiplicity 4)

Total energy ... -4.98 eV/atom
Total magnetization ... 0.0 μB per formula unit

=====

Record 4
## Ho2In2PtC3 (GGA-PBE)

Data for Ho2In2PtC3 after structural relaxation.

abc: 4.0693 4.0693 10.1930
angles: 90.00 90.00 120.00
Space group P3m1 (No. 156)
Inequivalent atoms, fractional coordinates:
1 Ho 0.0000 0.0000 0.0000 (multiplicity 1)
2 Ho 0.3333 0.6667 0.5368 (multiplicity 1)
3 In 0.6667 0.3333 0.2455 (multiplicity 1)
4 In 0.6667 0.3333 0.7528 (multiplicity 1)
5 Pt 0.0000 0.0000 0.3850 (multiplicity 1)
6 C 0.0000 0.0000 0.6198 (multiplicity 1)
7 C 0.3333 0.6667 0.0558 (multiplicity 1)
8 C 0.3333 0.6667 0.9239 (multiplicity 1)

Total energy ... -5.85 eV/atom
Total magnetization ... 0.0 μB per formula unit

=====

Record 5
## LuBAu (GGA-PBE)

Data for LuBAu after structural relaxation.

abc: 6.151 6.151 6.151
angles: 90.00 90.00 90.00
Space group F-43m (No. 216)
Inequivalent atoms, fractional coordinates:
1 Lu 0.000 0.000 0.000 (multiplicity 4)
2 B 0.000 0.000 0.500 (multiplicity 4)
3 Au 0.250 0.250 0.750 (multiplicity 4)

Total energy ... -4.55 eV/atom
Total magnetization ... 0.0 μB per formula unit

=====

Record 6
## TbDyMg2Cu4 (GGA-PBE)

Data for TbDyMg2Cu4 after structural relaxation.

abc: 4.686 4.686 6.638
angles: 90.00 90.00 90.00
Space group P4/mmm (No. 123)
Inequivalent atoms, fractional coordinates:
1 Tb 0.000 0.000 0.000 (multiplicity 1)
2 Dy 0.500 0.500 0.500 (multiplicity 1)
3 Mg 0.000 0.000 0.500 (multiplicity 1)
4 Mg 0.500 0.500 0.000 (multiplicity 1)
5 Cu 0.000 0.500 0.250 (multiplicity 4)

Total energy ... -3.60 eV/atom
Total magnetization ... 0.0 μB per formula unit